[1]
VASP calculation (GGA-PBE) on crystalline ZrSbBr2 at its relaxed geometry.

The value obtained for the total energy is -37.38 eV per cell. Its energy above the most stable polymorph in this dataset is 2.84 kcal/mol of atoms. As for the total moment: 0.00 μB/cell. The formation energy without anion corrections is -0.6682 eV/atom.

It has space group Immm (No. 71), with a = 3.2328 Å, b = 5.5099 Å, c = 14.9737 Å, α = 90.00°, β = 90.00° and γ = 90.00°. The inequivalent atoms are Zr at (0.0000, 0.0000, 0.0000), Sb at (0.0000, 0.0000, 0.5000) and Br at (0.0000, 0.5000, 0.3500).

[2]
VASP calculation (GGA-PBE) on crystalline ZrSbBr2 at its relaxed geometry.

The value obtained for the total energy is -17.78 eV per cell. Its energy above the most stable polymorph in this dataset is 8.08 kcal/mol of atoms. As for the total moment: 0.00 μB/cell. The formation energy without anion corrections is -0.4407 eV/atom.

It has space group Pmm2 (No. 25), with a = 3.4456 Å, b = 3.9570 Å, c = 8.0088 Å, α = 90.00°, β = 90.00° and γ = 90.00°. The inequivalent atoms are Zr at (0.0000, 0.0000, 0.0000), Sb at (0.5000, 0.5000, 0.7416), Br at (0.0000, 0.0000, 0.3463) and Br at (0.5000, 0.5000, 0.1357).

[3]
VASP calculation (GGA-PBE) on crystalline ZrSbBr at its relaxed geometry.

The value obtained for the total energy is -15.80 eV per cell. Its energy above the most stable polymorph in this dataset is 5.25 kcal/mol of atoms. As for the total moment: 0.00 μB/cell. The formation energy without anion corrections is -0.4871 eV/atom.

It has space group P-6m2 (No. 187), with a = 4.8935 Å, b = 4.8935 Å, c = 3.3862 Å, α = 90.00°, β = 90.00° and γ = 120.00°. The inequivalent atoms are Zr at (0.0000, 0.0000, 0.0000), Sb at (0.3333, 0.6667, 0.5000) and Br at (0.6667, 0.3333, 0.0000).

[4]
VASP calculation (GGA-PBE) on crystalline ZrSbBr2 at its relaxed geometry.

The value obtained for the total energy is -16.76 eV per cell. Its energy above the most stable polymorph in this dataset is 13.96 kcal/mol of atoms. As for the total moment: 0.58 μB/cell. The formation energy without anion corrections is -0.1858 eV/atom.

It has space group Pmmm (No. 47), with a = 3.3499 Å, b = 5.0011 Å, c = 5.8291 Å, α = 90.00°, β = 90.00° and γ = 90.00°. The inequivalent atoms are Zr at (0.0000, 0.0000, 0.0000), Sb at (0.5000, 0.0000, 0.5000), Br at (0.0000, 0.5000, 0.5000) and Br at (0.5000, 0.5000, 0.0000).